VASP calculation (PBE) on MgSiPd2W after structural relaxation.

Results
Raw formation energy, eV per atom: 1.37

Cell: 4.7936 4.7936 5.1066 Å, 90.00 90.00 90.00°
Closest atoms and distances in Å follow each position.
Space group P4/mmm (No. 123)
Symmetry-distinct sites (fractional):
Mg 0.0000 0.0000 0.0000 x1  2 W 2.55
Si 0.5000 0.5000 0.0000 x1  4 Mg 3.39, 8 Pd 3.50
Pd 0.0000 0.5000 0.5000 x2  2 W 2.40
W 0.0000 0.0000 0.5000 x1  4 Pd 2.40, 2 Mg 2.55